1.
An optimized crystal structure of SrPPb. Source: Alexandria via LeMat-Bulk, functional GGA-PBEsol.

a b c (Å): 4.792 4.792 8.561
angles (deg): 90.00 90.00 120.00
Element x y z (fractional)
P 0.667 0.333 0.077
P 0.333 0.667 0.577
Pb 0.667 0.333 0.577
Pb 0.333 0.667 0.077
Sr 0.000 0.000 0.827
Sr 0.000 0.000 0.327



2.
An optimized crystal structure of SrP3Pb. Source: Alexandria via LeMat-Bulk, functional GGA-PBEsol.

a b c (Å): 5.266 5.266 5.266
angles (deg): 90.00 90.00 90.00
Element x y z (fractional)
Pb 0.500 0.500 0.500
Sr 0.000 0.000 0.000
P 0.000 0.500 0.000
P 0.000 0.000 0.500
P 0.500 0.000 0.000



3.
An optimized crystal structure of SrP2Pb. Source: Alexandria via LeMat-Bulk, functional GGA-PBEsol.

a b c (Å): 3.464 5.125 5.969
angles (deg): 115.42 106.87 90.00
Element x y z (fractional)
P 0.053 0.053 0.105
P 0.714 0.214 0.427
Pb 0.474 0.474 0.948
Sr 0.260 0.760 0.520



4.
An optimized crystal structure of Sr2PPb. Source: Alexandria via LeMat-Bulk, functional GGA-PBEsol.

a b c (Å): 5.042 5.690 5.042
angles (deg): 63.70 90.00 116.30
Element x y z (fractional)
P 0.500 0.000 0.500
Pb 0.000 0.000 0.000
Sr 0.250 0.500 0.250
Sr 0.750 0.500 0.750



5.
An optimized crystal structure of SrPPb2. Source: Alexandria via LeMat-Bulk, functional GGA-PBEsol.

a b c (Å): 4.772 4.772 5.215
angles (deg): 90.00 90.00 100.29
Element x y z (fractional)
P 0.000 0.000 0.500
Pb 0.801 0.199 0.000
Pb 0.199 0.801 0.000
Sr 0.500 0.500 0.500



6.
An optimized crystal structure of SrPPb2. Source: Alexandria via LeMat-Bulk, functional GGA-PBEsol.

a b c (Å): 4.413 4.413 6.344
angles (deg): 110.36 110.36 90.00
Element x y z (fractional)
P 0.000 0.000 0.000
Pb 0.750 0.250 0.500
Pb 0.250 0.750 0.500
Sr 0.500 0.500 0.000



7.
An optimized crystal structure of Sr2TcPPb. Source: Alexandria via LeMat-Bulk, functional GGA-PBEsol.

a b c (Å): 5.059 6.030 6.030
angles (deg): 90.00 90.00 90.00
Last column: magnetic moment on the atom in μB.
Element x y z (fractional)
Pb 0.000 0.000 0.000  -0.07
Sr 0.000 0.000 0.500  0.00
Sr 0.000 0.500 0.000  0.00
Tc 0.500 0.000 0.000  2.43
P 0.500 0.500 0.500  0.07



8.
An optimized crystal structure of SrYP2Pb. Source: Alexandria via LeMat-Bulk, functional GGA-PBEsol.

a b c (Å): 5.218 5.218 5.648
angles (deg): 90.00 90.00 90.00
Element x y z (fractional)
Pb 0.000 0.000 0.500
Y 0.000 0.000 0.000
P 0.000 0.500 0.000
P 0.500 0.000 0.000
Sr 0.500 0.500 0.500



9.
An optimized crystal structure of Ta2PPb. Source: Alexandria via LeMat-Bulk, functional GGA-PBEsol.

Values from the calculation:
excess energy over the best structure of this formula in the dataset: 405 meV/atom

a b c (Å): 4.022 4.022 5.266
angles (deg): 112.45 112.45 90.00
Element x y z (fractional)
P 0.500 0.500 0.000
Pb 0.250 0.750 0.500
Ta 0.000 0.000 0.000
Ta 0.750 0.250 0.500



10.
An optimized crystal structure of Ta2PPb. Source: Alexandria via LeMat-Bulk, functional GGA-PBEsol.

Values from the calculation:
excess energy over the best structure of this formula in the dataset: 0 meV/atom

a b c (Å): 2.962 2.962 9.601
angles (deg): 90.00 90.00 106.05
Element x y z (fractional)
P 0.000 0.000 0.562
Pb 0.500 0.500 0.230
Ta 0.000 0.000 0.966
Ta 0.500 0.500 0.741



11.
An optimized crystal structure of Ta2PPb. Source: Alexandria via LeMat-Bulk, functional GGA-PBEsol.

Values from the calculation:
excess energy over the best structure of this formula in the dataset: 8 meV/atom

a b c (Å): 3.119 4.706 5.390
angles (deg): 90.00 106.83 90.00
Element x y z (fractional)
P 0.650 0.000 0.423
Pb 0.314 0.500 0.752
Ta 0.959 0.000 0.042
Ta 0.578 0.500 0.283



12.
An optimized crystal structure of Ta2PPb. Source: Alexandria via LeMat-Bulk, functional GGA-PBEsol.

Values from the calculation:
excess energy over the best structure of this formula in the dataset: 528 meV/atom

a b c (Å): 4.705 4.705 4.705
angles (deg): 60.00 60.00 60.00
Element x y z (fractional)
P 0.500 0.500 0.500
Pb 0.250 0.250 0.250
Ta 0.000 0.000 0.000
Ta 0.750 0.750 0.750



| no. | calculated formation energy (eV per atom) |
| --- | --- |
| 1 | -0.408 |
| 2 | 1.062 |
| 3 | -0.296 |
| 4 | -0.545 |
| 5 | -0.274 |
| 6 | -0.257 |
| 7 | 0.945 |
| 8 | -0.133 |
| 9 | 0.463 |
| 10 | 0.058 |
| 11 | 0.066 |
| 12 | 0.586 |